An optimized crystal structure of TbPm5YEr2, computed with PBE.

Unit cell a=5.6480 b=20.2028 c=10.7032 alpha=90.00 beta=90.00 gamma=90.00
Space group Cmc2_1 (No. 36)
Inequivalent atoms, fractional coordinates:
Tb 0.0000 0.0890 0.0000 [4 per cell]
Pm 0.0000 0.0191 0.2832 [4 per cell]
Pm 0.0000 0.1119 0.5638 [4 per cell]
Pm 0.0000 0.2017 0.2488 [4 per cell]
Pm 0.0000 0.2185 0.8523 [4 per cell]
Pm 0.0000 0.4826 0.5614 [4 per cell]
Y 0.0000 0.3003 0.5522 [4 per cell]
Er 0.0000 0.3847 0.8564 [4 per cell]
Er 0.0000 0.3886 0.2791 [4 per cell]

Output
DFT formation energy ... 1.3 eV per formula unit